# Ce2CuIr3

A relaxed structure of Ce2CuIr3 (GGA-PBE, Alexandria).

CIF file:
```
data_Ce2CuIr3
_cell_length_a 5.5068
_cell_length_b 5.5068
_cell_length_c 12.2821
_cell_angle_alpha 90.00
_cell_angle_beta 90.00
_cell_angle_gamma 120.00
_symmetry_space_group_name_H-M 'R -3 m'
_symmetry_Int_Tables_number 166
_symmetry_space_group_name_Hall '-R 3 2"'
loop_
_atom_site_label
_atom_site_fract_x
_atom_site_fract_y
_atom_site_fract_z
Ce1 0.0000 0.0000 0.1236
Cu1 0.0000 0.0000 0.5000
Ir1 0.0000 0.5000 0.0000
```

Results
Crystal system   trigonal
E_form   -651 meV/atom
Magnetic moment   0.000 μB per atom
Density   14.215 Mg/m³


# CeCuIr2

A relaxed structure of CeCuIr2 (GGA-PBE, Alexandria).

CIF file:
```
data_CeCuIr2
_cell_length_a 4.123
_cell_length_b 4.123
_cell_length_c 3.934
_cell_angle_alpha 90.00
_cell_angle_beta 90.00
_cell_angle_gamma 90.00
_symmetry_space_group_name_H-M 'P 4/m m m'
_symmetry_Int_Tables_number 123
_symmetry_space_group_name_Hall '-P 4 2'
loop_
_atom_site_label
_atom_site_fract_x
_atom_site_fract_y
_atom_site_fract_z
Ce1 0.000 0.000 0.000
Cu1 0.500 0.500 0.000
Ir1 0.000 0.500 0.500
```

Results
Crystal system   tetragonal
E_form   -439 meV/atom
Magnetic moment   0.000 μB per atom
Density   14.607 Mg/m³


# CeCuIr

A relaxed structure of CeCuIr (GGA-PBE, Alexandria).

CIF file:
```
data_CeCuIr
_cell_length_a 4.3359
_cell_length_b 4.3359
_cell_length_c 3.5950
_cell_angle_alpha 90.00
_cell_angle_beta 90.00
_cell_angle_gamma 120.00
_symmetry_space_group_name_H-M 'P -6 m 2'
_symmetry_Int_Tables_number 187
_symmetry_space_group_name_Hall 'P -6 2'
loop_
_atom_site_label
_atom_site_fract_x
_atom_site_fract_y
_atom_site_fract_z
Ce1 0.0000 0.0000 0.0000
Cu1 0.3333 0.6667 0.5000
Ir1 0.6667 0.3333 0.5000
```

Results
Crystal system   hexagonal
E_form   -384 meV/atom
Magnetic moment   0.066 μB per atom
Density   11.231 Mg/m³


Question: What is the formula in the first record?
Answer: Ce2CuIr3


Question: Among the records above, which one has the highest E_form?
Answer: CeCuIr


Please write out number 2 again, unchanged.
# CeCuIr2

A relaxed structure of CeCuIr2 (GGA-PBE, Alexandria).

CIF file:
```
data_CeCuIr2
_cell_length_a 4.123
_cell_length_b 4.123
_cell_length_c 3.934
_cell_angle_alpha 90.00
_cell_angle_beta 90.00
_cell_angle_gamma 90.00
_symmetry_space_group_name_H-M 'P 4/m m m'
_symmetry_Int_Tables_number 123
_symmetry_space_group_name_Hall '-P 4 2'
loop_
_atom_site_label
_atom_site_fract_x
_atom_site_fract_y
_atom_site_fract_z
Ce1 0.000 0.000 0.000
Cu1 0.500 0.500 0.000
Ir1 0.000 0.500 0.500
```

Results
Crystal system   tetragonal
E_form   -439 meV/atom
Magnetic moment   0.000 μB per atom
Density   14.607 Mg/m³


Question: The lowest density belongs to which entry?
Answer: CeCuIr